1.
Density functional theory data (PBE) for crystalline PdWBr2 at its relaxed geometry.

ΔE to the lowest computed polymorph = 491 meV/atom
Formation energy (no corrections) = 386 kJ/mol of formula units

a = 7.4502 Å, b = 7.4502 Å, c = 7.4502 Å
α = 135.87°, β = 135.87°, γ = 64.19°
Element x y z (fractional)
Pd 0.0000 0.0000 0.0000
Pd 0.7500 0.2500 0.5000
W 0.2500 0.7500 0.5000
W 0.5000 0.5000 0.0000
Br 0.1453 0.6250 0.0203
Br 0.3750 0.3953 0.5203
Br 0.6047 0.1250 0.9797
Br 0.8750 0.8547 0.4797



2.
Density functional theory data (PBE) for crystalline DyIn2Pd7 at its relaxed geometry.

Energy relative to the elements = -176.1 meV per atom

a = 7.7999 Å, b = 7.7999 Å, c = 4.3936 Å
α = 90.00°, β = 90.00°, γ = 123.83°
Element x y z (fractional)
Dy 0.0000 0.0000 0.0000
In 0.3015 0.6985 0.5000
In 0.6985 0.3015 0.5000
Pd 0.0785 0.2878 0.5000
Pd 0.1957 0.8043 0.0000
Pd 0.2878 0.0785 0.5000
Pd 0.5000 0.5000 0.5000
Pd 0.7122 0.9215 0.5000
Pd 0.8043 0.1957 0.0000
Pd 0.9215 0.7122 0.5000



3.
Density functional theory data (PBE) for crystalline TaCl3 at its relaxed geometry.

Formation energy (no corrections) = -397 kJ/mol of formula units

a = 7.4074 Å, b = 7.4074 Å, c = 3.2231 Å
α = 90.00°, β = 90.00°, γ = 142.10°
Element x y z (fractional)
Ta 0.0000 0.0000 0.0000
Cl 0.1346 0.8654 0.5000
Cl 0.5000 0.5000 0.0000
Cl 0.8654 0.1346 0.5000



4.
Density functional theory data (PBE) for crystalline Tl2ZnP at its relaxed geometry.

ΔE to the lowest computed polymorph = 315 meV/atom
Energy relative to the elements = 310.4 meV per atom

a = 5.1456 Å, b = 5.1456 Å, c = 5.1456 Å
α = 60.00°, β = 60.00°, γ = 60.00°
Element x y z (fractional)
Tl 0.2500 0.2500 0.2500
Tl 0.7500 0.7500 0.7500
Zn 0.0000 0.0000 0.0000
P 0.5000 0.5000 0.5000



5.
Density functional theory data (PBE) for crystalline TbGe2Pt at its relaxed geometry.

Energy relative to the elements = -62.7 meV per atom

a = 9.4553 Å, b = 9.4553 Å, c = 9.4553 Å
α = 20.78°, β = 20.78°, γ = 20.78°
Element x y z (fractional)
Tb 0.0000 0.0000 0.0000
Ge 0.1061 0.1061 0.1061
Ge 0.8939 0.8939 0.8939
Pt 0.5000 0.5000 0.5000



6.
Density functional theory data (PBE) for crystalline ZnPOs at its relaxed geometry.

Energy relative to the elements = 16.8 meV per atom

a = 5.4519 Å, b = 5.4519 Å, c = 5.4519 Å
α = 148.44°, β = 148.44°, γ = 45.24°
Element x y z (fractional)
Zn 0.0000 0.0000 0.0000
P 0.7010 0.7010 0.0000
Os 0.3172 0.3172 0.0000



7.
Density functional theory data (PBE) for crystalline FeMo at its relaxed geometry.

Energy relative to the elements = 116.5 meV per atom

a = 3.0811 Å, b = 3.0811 Å, c = 5.8236 Å
α = 90.00°, β = 90.00°, γ = 90.00°
Element x y z (fractional)
Fe 0.2500 0.2500 0.1141
Fe 0.7500 0.7500 0.8859
Mo 0.2500 0.2500 0.6356
Mo 0.7500 0.7500 0.3644



8.
Density functional theory data (PBE) for crystalline Ni5Rh4 at its relaxed geometry.

ΔE to the lowest computed polymorph = 0 meV/atom
Energy relative to the elements = 41.0 meV per atom

a = 5.8530 Å, b = 5.8530 Å, c = 5.8530 Å
α = 95.62°, β = 95.62°, γ = 143.52°
Element x y z (fractional)
Ni 0.0000 0.0000 0.0000
Ni 0.0000 0.3378 0.3378
Ni 0.0000 0.6622 0.6622
Ni 0.3378 0.0000 0.3378
Ni 0.6622 0.0000 0.6622
Rh 0.3337 0.3337 0.6673
Rh 0.3337 0.6663 0.0000
Rh 0.6663 0.3337 0.0000
Rh 0.6663 0.6663 0.3327



9.
Density functional theory data (PBE) for crystalline MnTl3Cr at its relaxed geometry.

ΔE to the lowest computed polymorph = 0 meV/atom
Energy relative to the elements = 845.6 meV per atom

a = 5.2771 Å, b = 5.2771 Å, c = 5.2771 Å
α = 90.00°, β = 90.00°, γ = 90.00°
Element x y z (fractional)
Mn 0.0000 0.0000 0.0000
Tl 0.0000 0.5000 0.5000
Tl 0.5000 0.0000 0.5000
Tl 0.5000 0.5000 0.0000
Cr 0.5000 0.5000 0.5000



10.
Density functional theory data (PBE) for crystalline CaErMg17 at its relaxed geometry.

Energy relative to the elements = -12.7 meV per atom

a = 7.8214 Å, b = 7.8214 Å, c = 7.8214 Å
α = 82.30°, β = 82.30°, γ = 82.30°
Element x y z (fractional)
Ca 0.0000 0.0000 0.0000
Er 0.3361 0.3361 0.3361
Mg 0.0193 0.0193 0.5043
Mg 0.0193 0.5043 0.0193
Mg 0.1674 0.6631 0.6631
Mg 0.3138 0.3138 0.8225
Mg 0.3138 0.8225 0.3138
Mg 0.3636 0.6630 0.9689
Mg 0.3636 0.9689 0.6630
Mg 0.5043 0.0193 0.0193
Mg 0.5637 0.5637 0.5637
Mg 0.6631 0.1674 0.6631
Mg 0.6630 0.3636 0.9689
Mg 0.6631 0.6631 0.1674
Mg 0.6630 0.9689 0.3636
Mg 0.7646 0.7646 0.7646
Mg 0.8225 0.3138 0.3138
Mg 0.9689 0.3636 0.6630
Mg 0.9689 0.6630 0.3636



11.
Density functional theory data (PBE) for crystalline Sm2Al3Ag at its relaxed geometry.

ΔE to the lowest computed polymorph = 0 meV/atom
Energy relative to the elements = -438.4 meV per atom

a = 9.2255 Å, b = 8.8163 Å, c = 5.9164 Å
α = 74.65°, β = 67.15°, γ = 38.20°
Element x y z (fractional)
Sm 0.2443 0.7557 0.7557
Sm 0.2500 0.2500 0.2500
Sm 0.7500 0.7500 0.7500
Sm 0.7557 0.2443 0.2443
Al 0.1685 0.6654 0.3346
Al 0.3349 0.3349 0.6651
Al 0.3346 0.8315 0.1685
Al 0.6654 0.1685 0.8315
Al 0.6651 0.6651 0.3349
Al 0.8315 0.3346 0.6654
Ag 0.1680 0.1680 0.8320
Ag 0.8320 0.8320 0.1680



12.
Density functional theory data (PBE) for crystalline NiHRu3 at its relaxed geometry.

ΔE to the lowest computed polymorph = 1919 meV/atom

a = 4.5075 Å, b = 4.5075 Å, c = 4.5075 Å
α = 90.00°, β = 90.00°, γ = 90.00°
Element x y z (fractional)
Ni 0.0000 0.0000 0.0000
H 0.5000 0.5000 0.5000
Ru 0.0000 0.0000 0.5000
Ru 0.0000 0.5000 0.0000
Ru 0.5000 0.0000 0.0000



13.
Density functional theory data (PBE) for crystalline NbICl3 at its relaxed geometry.

ΔE to the lowest computed polymorph = 1860 meV/atom
Formation energy (no corrections) = 442 kJ/mol of formula units

a = 5.5720 Å, b = 5.5720 Å, c = 5.5720 Å
α = 90.00°, β = 90.00°, γ = 90.00°
Element x y z (fractional)
Nb 0.0000 0.0000 0.0000
I 0.5000 0.5000 0.5000
Cl 0.0000 0.5000 0.5000
Cl 0.5000 0.0000 0.5000
Cl 0.5000 0.5000 0.0000



14.
Density functional theory data (PBE) for crystalline Sc3TlGa at its relaxed geometry.

ΔE to the lowest computed polymorph = 699 meV/atom
Energy relative to the elements = 475.5 meV per atom

a = 5.3290 Å, b = 5.3290 Å, c = 5.3290 Å
α = 90.00°, β = 90.00°, γ = 90.00°
Element x y z (fractional)
Sc 0.0000 0.0000 0.5000
Sc 0.0000 0.5000 0.0000
Sc 0.5000 0.0000 0.0000
Tl 0.0000 0.0000 0.0000
Ga 0.5000 0.5000 0.5000



15.
Density functional theory data (PBE) for crystalline K5Sb2Te5 at its relaxed geometry.

Formation energy (no corrections) = -771 kJ/mol of formula units

a = 7.8893 Å, b = 7.8893 Å, c = 13.7155 Å
α = 107.71°, β = 107.71°, γ = 38.98°
Element x y z (fractional)
K 0.0000 0.0000 0.0000
K 0.1593 0.1593 0.5502
K 0.2488 0.2488 0.8522
K 0.7512 0.7512 0.1478
K 0.8407 0.8407 0.4498
Sb 0.4497 0.4497 0.7064
Sb 0.5503 0.5503 0.2936
Te 0.1522 0.1522 0.2867
Te 0.3930 0.3930 0.1087
Te 0.5000 0.5000 0.5000
Te 0.6070 0.6070 0.8913
Te 0.8478 0.8478 0.7133



16.
Density functional theory data (PBE) for crystalline PbBr2 at its relaxed geometry.

Formation energy (no corrections) = -224 kJ/mol of formula units

a = 15.1780 Å, b = 15.1780 Å, c = 15.1780 Å
α = 165.57°, β = 165.57°, γ = 20.46°
Element x y z (fractional)
Pb 0.3750 0.6250 0.7500
Pb 0.6250 0.3750 0.2500
Br 0.0659 0.8159 0.2500
Br 0.1841 0.9341 0.2500
Br 0.8159 0.0659 0.7500
Br 0.9341 0.1841 0.7500



17.
Density functional theory data (PBE) for crystalline Y4Ga2O at its relaxed geometry.

ΔE to the lowest computed polymorph = 295 meV/atom
Formation energy (no corrections) = -606 kJ/mol of formula units

a = 8.8367 Å, b = 8.8367 Å, c = 8.8367 Å
α = 150.18°, β = 150.18°, γ = 42.68°
Element x y z (fractional)
Y 0.0000 0.5000 0.5000
Y 0.1757 0.1757 0.0000
Y 0.5000 0.0000 0.5000
Y 0.8243 0.8243 0.0000
Ga 0.3555 0.3555 0.0000
Ga 0.6445 0.6445 0.0000
O 0.5000 0.5000 0.0000



18.
Density functional theory data (PBE) for crystalline CaDyNiAg at its relaxed geometry.

Energy relative to the elements = -206.3 meV per atom

a = 4.9968 Å, b = 4.9968 Å, c = 4.9968 Å
α = 60.00°, β = 60.00°, γ = 60.00°
Element x y z (fractional)
Ca 0.0000 0.0000 0.0000
Dy 0.5000 0.5000 0.5000
Ni 0.2500 0.2500 0.2500
Ag 0.7500 0.7500 0.7500



19.
Density functional theory data (PBE) for crystalline LiCa2AgN at its relaxed geometry.

ΔE to the lowest computed polymorph = 31 meV/atom
Formation energy (no corrections) = -227 kJ/mol of formula units

a = 4.9206 Å, b = 4.9206 Å, c = 4.1372 Å
α = 90.00°, β = 90.00°, γ = 90.00°
Element x y z (fractional)
Li 0.0000 0.0000 0.0000
Ca 0.0000 0.5000 0.5000
Ca 0.5000 0.0000 0.5000
Ag 0.5000 0.5000 0.0000
N 0.0000 0.0000 0.5000



20.
Density functional theory data (PBE) for crystalline Hf3CrTe at its relaxed geometry.

ΔE to the lowest computed polymorph = 0 meV/atom
Formation energy (no corrections) = 197 kJ/mol of formula units

a = 4.8419 Å, b = 4.8419 Å, c = 4.8419 Å
α = 90.00°, β = 90.00°, γ = 90.00°
Element x y z (fractional)
Hf 0.0000 0.0000 0.5000
Hf 0.0000 0.5000 0.0000
Hf 0.5000 0.0000 0.0000
Cr 0.0000 0.0000 0.0000
Te 0.5000 0.5000 0.5000



Number 1: M_tot 0.00 Bohr magnetons per cell. Number 2: M_tot 0.00 Bohr magnetons per cell. Number 3: M_tot 0.00 Bohr magnetons per cell. Number 4: M_tot 0.00 Bohr magnetons per cell. Number 5: M_tot 0.00 Bohr magnetons per cell. Number 6: M_tot 0.00 Bohr magnetons per cell. Number 7: M_tot 4.31 Bohr magnetons per cell. Number 8: M_tot 5.41 Bohr magnetons per cell. Number 9: M_tot 7.97 Bohr magnetons per cell. Number 10: M_tot 0.00 Bohr magnetons per cell. Number 11: M_tot 0.00 Bohr magnetons per cell. Number 12: M_tot 7.22 Bohr magnetons per cell. Number 13: M_tot 3.83 Bohr magnetons per cell. Number 14: M_tot 0.00 Bohr magnetons per cell. Number 15: M_tot 0.00 Bohr magnetons per cell. Number 16: M_tot 0.00 Bohr magnetons per cell. Number 17: M_tot 0.00 Bohr magnetons per cell. Number 18: M_tot 0.00 Bohr magnetons per cell. Number 19: M_tot 0.00 Bohr magnetons per cell. Number 20: M_tot 0.00 Bohr magnetons per cell.